1.
DFT (SCAN) results for a crystal of In2Sb2Ir relaxed with PBEsol.

## Properties
Magnetization (μB per formula unit): 0.00
ΔE_f (raw) (eV/atom): 0.545

abc: 3.7521 3.7521 17.2452
angles: 90.00 90.00 90.00
With the nearest neighbours (Å) after each atom.
Fractional coordinates of all 10 atoms:
In: 0.0000 0.5000 0.2500  4 In 2.65
In: 0.0000 0.5000 0.7500  4 In 2.65
In: 0.5000 0.0000 0.2500  4 In 2.65
In: 0.5000 0.0000 0.7500  4 In 2.65
Sb: 0.0000 0.0000 0.0817  1 Sb 2.82, 4 Ir 3.00
Sb: 0.0000 0.0000 0.9183  1 Sb 2.82, 4 Ir 3.00
Sb: 0.5000 0.5000 0.4183  1 Sb 2.82, 4 Ir 3.00
Sb: 0.5000 0.5000 0.5817  1 Sb 2.82, 4 Ir 3.00
Ir: 0.0000 0.0000 0.5000  8 Sb 3.00
Ir: 0.5000 0.5000 0.0000  8 Sb 3.00

***

2.
DFT (SCAN) results for a crystal of InNiAs2 relaxed with PBEsol.

## Properties
Magnetization (μB per formula unit): 0.00
Calculated formation energy (eV/atom): 0.016

abc: 2.9007 2.9007 8.6307
angles: 90.00 90.00 90.00
With the nearest neighbours (Å) after each atom.
Fractional coordinates of all 4 atoms:
In: 0.0000 0.0000 0.0000  4 In 2.90
Ni: 0.0000 0.0000 0.5000  8 As 2.55
As: 0.5000 0.5000 0.3243  4 Ni 2.55
As: 0.5000 0.5000 0.6757  4 Ni 2.55

***

3.
DFT (SCAN) results for a crystal of CaZnInW2 relaxed with PBEsol.

## Properties
Magnetization (μB per formula unit): 1.07
Calculated formation energy (eV/atom): 2.956

abc: 4.6537 4.6537 5.1987
angles: 90.00 90.00 90.00
With the nearest neighbours (Å) after each atom.
Fractional coordinates of all 5 atoms:
Ca: 0.0000 0.0000 0.0000  4 W 2.33, 2 In 2.60
Zn: 0.5000 0.5000 0.5000  4 In 3.29, 8 W 3.49
In: 0.0000 0.0000 0.5000  2 Ca 2.60
W: 0.0000 0.5000 0.0000  2 Ca 2.33
W: 0.5000 0.0000 0.0000  2 Ca 2.33

***

4.
DFT (SCAN) results for a crystal of LiBePCl2 relaxed with PBEsol.

## Properties
Magnetization (μB per formula unit): 0.00
ΔE_f (raw) (eV/atom): 0.374

abc: 4.3023 4.3023 4.8664
angles: 90.00 90.00 90.00
With the nearest neighbours (Å) after each atom.
Fractional coordinates of all 5 atoms:
Li: 0.0000 0.0000 0.0000  4 Cl 2.15
Be: 0.5000 0.5000 0.5000  4 P 3.04, 8 Cl 3.25
P: 0.0000 0.0000 0.5000  2 Li 2.43
Cl: 0.0000 0.5000 0.0000  2 Li 2.15
Cl: 0.5000 0.0000 0.0000  2 Li 2.15

***

5.
DFT (SCAN) results for a crystal of LiSn2Pd2 relaxed with PBEsol.

## Properties
Magnetization (μB per formula unit): 0.00
Calculated formation energy (eV/atom): -0.445

abc: 7.5291 7.5291 3.2759
angles: 90.00 90.00 90.00
With the nearest neighbours (Å) after each atom.
Fractional coordinates of all 10 atoms:
Li: 0.0000 0.0000 0.0000  4 Pd 2.93, 8 Sn 3.26, 2 Li 3.28
Li: 0.5000 0.5000 0.0000  4 Pd 2.93, 8 Sn 3.26, 2 Li 3.28
Sn: 0.1625 0.3375 0.5000  6 Pd 2.70-2.78
Sn: 0.3375 0.8375 0.5000  6 Pd 2.70-2.78
Sn: 0.6625 0.1625 0.5000  6 Pd 2.70-2.78
Sn: 0.8375 0.6625 0.5000  6 Pd 2.70-2.78
Pd: 0.1354 0.6354 0.0000  6 Sn 2.70-2.78, 1 Pd 2.88, 2 Li 2.93
Pd: 0.3646 0.1354 0.0000  6 Sn 2.70-2.78, 1 Pd 2.88, 2 Li 2.93
Pd: 0.6354 0.8646 0.0000  6 Sn 2.70-2.78, 1 Pd 2.88, 2 Li 2.93
Pd: 0.8646 0.3646 0.0000  6 Sn 2.70-2.78, 1 Pd 2.88, 2 Li 2.93

***

6.
DFT (SCAN) results for a crystal of Ti20Ge9Sb3 relaxed with PBEsol.

## Properties
Magnetization (μB per formula unit): 0.00
ΔE_f (raw) (eV/atom): -0.712

abc: 7.5781 5.1989 13.2609
angles: 90.00 90.23 90.00
With the nearest neighbours (Å) after each atom.
Fractional coordinates of all 32 atoms:
Ti: 0.0000 0.0000 0.0000  3 Ge 2.55-2.85, 2 Sb 2.70-2.82
Ti: 0.0183 0.5000 0.5063  3 Ge 2.58-2.80, 2 Sb 2.83
Ti: 0.1431 0.0000 0.6376  4 Ge 2.53-2.79, 1 Sb 2.67
Ti: 0.1512 0.0000 0.3846  3 Ge 2.53-2.83, 2 Sb 2.69-2.80
Ti: 0.2606 0.2532 0.8346  2 Ti 2.57-2.63, 5 Ge 2.65-2.73, 1 Sb 2.73
Ti: 0.2606 0.7468 0.8346  2 Ti 2.57-2.63, 5 Ge 2.65-2.73, 1 Sb 2.73
Ti: 0.2709 0.2565 0.1752  2 Ti 2.53-2.67, 4 Ge 2.64-2.74, 2 Sb 2.72-2.75
Ti: 0.2709 0.7435 0.1752  2 Ti 2.53-2.67, 4 Ge 2.64-2.74, 2 Sb 2.72-2.75
Ti: 0.3890 0.5000 0.6344  5 Ge 2.58-2.80
Ti: 0.3939 0.5000 0.3776  5 Ge 2.59-2.78
Ti: 0.4988 0.0000 0.5071  4 Ge 2.59-2.84, 1 Sb 2.82
Ti: 0.5238 0.5000 0.0067  3 Ge 2.59-2.81, 2 Sb 2.84
Ti: 0.6327 0.0000 0.1377  2 Sb 2.64-2.65, 3 Ge 2.67-2.77
Ti: 0.6443 0.0000 0.8742  4 Ge 2.54-2.78, 1 Sb 2.69
Ti: 0.7582 0.2565 0.3406  2 Ti 2.53-2.67, 4 Ge 2.65-2.71, 2 Sb 2.73-2.75
Ti: 0.7582 0.7435 0.3406  2 Ti 2.53-2.67, 4 Ge 2.65-2.71, 2 Sb 2.73-2.75
Ti: 0.7591 0.2533 0.6770  2 Ti 2.56-2.63, 5 Ge 2.65-2.71, 1 Sb 2.74
Ti: 0.7591 0.7467 0.6770  2 Ti 2.56-2.63, 5 Ge 2.65-2.71, 1 Sb 2.74
Ti: 0.8908 0.5000 0.1304  3 Ge 2.58-2.78, 2 Sb 2.82
Ti: 0.8923 0.5000 0.8765  5 Ge 2.59-2.80
Ge: 0.0669 0.5000 0.6990  9 Ti 2.58-2.79
Ge: 0.0708 0.5000 0.3136  9 Ti 2.59-2.83
Ge: 0.1528 0.5000 0.0048  9 Ti 2.60-2.85
Ge: 0.4588 0.0000 0.7010  9 Ti 2.53-2.80
Ge: 0.4603 0.0000 0.3130  9 Ti 2.53-2.78
Ge: 0.5679 0.5000 0.8132  9 Ti 2.59-2.78
Ge: 0.5735 0.5000 0.2000  9 Ti 2.58-2.77
Ge: 0.6485 0.5000 0.5085  9 Ti 2.58-2.84
Ge: 0.9592 0.0000 0.8089  9 Ti 2.54-2.80
Sb: 0.3717 0.0000 0.0037  9 Ti 2.65-2.84
Sb: 0.8715 0.0000 0.5082  9 Ti 2.67-2.83
Sb: 0.9624 0.0000 0.2027  9 Ti 2.64-2.82

***

7.
DFT (SCAN) results for a crystal of Er3Rh relaxed with PBEsol.

## Properties
Magnetization (μB per formula unit): 0.00
Calculated formation energy (eV/atom): -0.652

abc: 6.9936 9.1845 6.1243
angles: 90.00 90.00 90.00
With the nearest neighbours (Å) after each atom.
Fractional coordinates of all 16 atoms:
Er: 0.0339 0.2500 0.1335  2 Rh 2.71-2.79
Er: 0.1783 0.0620 0.6708  2 Rh 2.78-2.80
Er: 0.1783 0.4380 0.6708  2 Rh 2.78-2.80
Er: 0.3217 0.5620 0.1708  2 Rh 2.78-2.80
Er: 0.3217 0.9380 0.1708  2 Rh 2.78-2.80
Er: 0.4661 0.7500 0.6335  2 Rh 2.71-2.79
Er: 0.5339 0.2500 0.3665  2 Rh 2.71-2.79
Er: 0.6783 0.0620 0.8292  2 Rh 2.78-2.80
Er: 0.6783 0.4380 0.8292  2 Rh 2.78-2.80
Er: 0.8217 0.5620 0.3292  2 Rh 2.78-2.80
Er: 0.8217 0.9380 0.3292  2 Rh 2.78-2.80
Er: 0.9661 0.7500 0.8665  2 Rh 2.71-2.79
Rh: 0.1162 0.7500 0.4450  6 Er 2.71-2.80
Rh: 0.3838 0.2500 0.9450  6 Er 2.71-2.80
Rh: 0.6162 0.7500 0.0550  6 Er 2.71-2.80
Rh: 0.8838 0.2500 0.5550  6 Er 2.71-2.80

***

8.
DFT (SCAN) results for a crystal of Mn2NbPOs relaxed with PBEsol.

## Properties
Magnetization (μB per formula unit): 4.93
Calculated formation energy (eV/atom): 1.623

abc: 4.4289 4.4289 4.5670
angles: 90.00 90.00 90.00
With the nearest neighbours (Å) after each atom.
Fractional coordinates of all 5 atoms:
Mn: 0.0000 0.5000 0.0000  2 Nb 2.21
Mn: 0.5000 0.0000 0.0000  2 Nb 2.21
Nb: 0.0000 0.0000 0.0000  4 Mn 2.21, 2 P 2.28
P: 0.0000 0.0000 0.5000  2 Nb 2.28
Os: 0.5000 0.5000 0.5000  4 P 3.13, 8 Mn 3.18